Run i
Density functional theory data (PBE) for GaSb2OsI after structural relaxation.

Lattice parameters (Å, degrees): 5.071 5.071 6.018 90.00 90.00 90.00
Space group P4/mmm (No. 123)
Inequivalent atoms, fractional coordinates:
Ga 0.000 0.000 0.000 x1
Sb 0.000 0.500 0.500 x2
Os 0.500 0.500 0.500 x1
I 0.500 0.500 0.000 x1

=====

Run ii
Density functional theory data (PBE) for GaSb2OsI after structural relaxation.

Lattice parameters (Å, degrees): 5.277 5.277 5.286 90.00 90.00 90.00
Space group P4/mmm (No. 123)
Inequivalent atoms, fractional coordinates:
Ga 0.000 0.000 0.000 x1
Sb 0.000 0.500 0.000 x2
Os 0.500 0.500 0.500 x1
I 0.000 0.000 0.500 x1

=====

Which structure is most stable, and how do the rest compare? From most to least stable: run i, run ii.

=====

Run i
Density functional theory data (PBE) for GaP2I after structural relaxation.

Lattice parameters (Å, degrees): 6.871 6.871 6.871 90.00 90.00 90.00
Space group Fm-3m (No. 225)
Inequivalent atoms, fractional coordinates:
Ga 0.000 0.000 0.000 x4
P 0.250 0.250 0.250 x8
I 0.000 0.000 0.500 x4

=====

Run ii
Density functional theory data (PBE) for GaP2I after structural relaxation.

Lattice parameters (Å, degrees): 6.668 6.668 9.082 90.00 90.00 90.00
Space group I-42d (No. 122)
Inequivalent atoms, fractional coordinates:
Ga 0.000 0.000 0.000 x4
P 0.189 0.250 0.125 x8
I 0.000 0.000 0.500 x4

=====

Which structure is most stable, and how do the rest compare? From most to least stable: run ii, run i.

=====

Run i
Density functional theory data (PBE) for GaTePI2 after structural relaxation.

Lattice parameters (Å, degrees): 5.537 5.537 5.417 90.00 90.00 90.00
Space group P4/mmm (No. 123)
Inequivalent atoms, fractional coordinates:
Ga 0.000 0.000 0.000 x1
Te 0.500 0.500 0.000 x1
P 0.500 0.500 0.500 x1
I 0.000 0.500 0.500 x2

=====

Run ii
Density functional theory data (PBE) for GaTePI2 after structural relaxation.

Lattice parameters (Å, degrees): 5.560 5.560 5.671 90.00 90.00 90.00
Space group P4/mmm (No. 123)
Inequivalent atoms, fractional coordinates:
Ga 0.000 0.000 0.000 x1
Te 0.000 0.000 0.500 x1
P 0.500 0.500 0.500 x1
I 0.000 0.500 0.000 x2

=====

Which structure is most stable, and how do the rest compare? From most to least stable: run i, run ii.